1.
Material: SrTa2As
Method: DFT, GGA-PBEsol
State: optimized geometry

Cell: 5.7178 5.7178 5.7178 Å, 137.97 137.97 60.94°
With the nearest neighbours (Å) after each atom.
Atoms (fractional coordinates):
Sr1 0.0000 0.0000 0.0000  4 As 2.90, 8 Ta 3.21
Ta1 0.2500 0.7500 0.5000  4 Ta 2.90, 4 Sr 3.21, 4 As 3.21
Ta2 0.7500 0.2500 0.5000  4 Ta 2.90, 4 Sr 3.21, 4 As 3.21
As1 0.5000 0.5000 0.0000  4 Sr 2.90, 8 Ta 3.21

Values from the calculation:
- SG = I4/mmm, No. 139
- ΔH_f (0 K) (meV/atom) = 608.2


2.
Material: SrTaAs2
Method: DFT, GGA-PBEsol
State: optimized geometry

Cell: 7.5979 7.5979 7.5979 Å, 153.65 152.52 38.44°
With the nearest neighbours (Å) after each atom.
Atoms (fractional coordinates):
Sr1 0.0000 0.0000 0.0000  6 As 3.04-3.14
Ta1 0.2498 0.7498 0.5000  6 As 2.55-2.70
As1 0.3798 0.3798 0.0000  2 Ta 2.55
As2 0.6790 0.1790 0.5000  4 Ta 2.70

Values from the calculation:
- SG = Imm2, No. 44
- ΔH_f (0 K) (meV/atom) = -535.6


3.
Material: Sr4TaAs
Method: DFT, GGA-PBEsol
State: optimized geometry

Cell: 6.5401 6.5401 6.5401 Å, 60.00 60.00 60.00°
With the nearest neighbours (Å) after each atom.
Atoms (fractional coordinates):
Sr1 0.1250 0.1250 0.1250  6 Sr 3.27
Sr2 0.1250 0.1250 0.6250  6 Sr 3.27
Sr3 0.1250 0.6250 0.1250  6 Sr 3.27
Sr4 0.6250 0.1250 0.1250  6 Sr 3.27
Ta1 0.5000 0.5000 0.5000  12 Sr 3.83, 4 As 4.00
As1 0.7500 0.7500 0.7500  12 Sr 3.83, 4 Ta 4.00

Values from the calculation:
- SG = F-43m, No. 216
- ΔH_f (0 K) (meV/atom) = 1034.0


4.
Material: SrTcAs3
Method: DFT, GGA-PBEsol
State: optimized geometry

Cell: 4.8564 4.8564 4.8564 Å, 90.00 90.00 90.00°
With the nearest neighbours (Å) after each atom.
Atoms (fractional coordinates):
Sr1 0.0000 0.0000 0.0000  12 As 3.43
Tc1 0.5000 0.5000 0.5000  6 As 2.43
As1 0.0000 0.5000 0.5000  2 Tc 2.43
As2 0.5000 0.0000 0.5000  2 Tc 2.43
As3 0.5000 0.5000 0.0000  2 Tc 2.43

Values from the calculation:
- SG = Pm-3m, No. 221
- ΔH_f (0 K) (meV/atom) = -128.1


5.
Material: SrTc2As2
Method: DFT, GGA-PBEsol
State: optimized geometry

Cell: 6.1547 6.1547 6.1547 Å, 139.91 139.91 57.99°
With the nearest neighbours (Å) after each atom.
Atoms (fractional coordinates):
Sr1 0.0000 0.0000 0.0000  8 As 3.32, 8 Tc 3.42
Tc1 0.2500 0.7500 0.5000  4 As 2.44
Tc2 0.7500 0.2500 0.5000  4 As 2.44
As1 0.3639 0.3639 0.0000  4 Tc 2.44
As2 0.6361 0.6361 0.0000  4 Tc 2.44

Values from the calculation:
- SG = I4/mmm, No. 139
- ΔH_f (0 K) (meV/atom) = -472.6


6.
Material: Sr2TeAs
Method: DFT, GGA-PBEsol
State: optimized geometry

Cell: 5.5098 5.5098 5.5098 Å, 60.00 60.00 60.00°
With the nearest neighbours (Å) after each atom.
Atoms (fractional coordinates):
Sr1 0.2500 0.2500 0.2500  4 As 3.37, 4 Te 3.37
Sr2 0.7500 0.7500 0.7500  4 As 3.37, 4 Te 3.37
Te1 0.0000 0.0000 0.0000  8 Sr 3.37
As1 0.5000 0.5000 0.5000  8 Sr 3.37

Values from the calculation:
- DFT total energy (eV per atom) = -4.18
- SG = Fm-3m, No. 225